Record 1
Material: DyY2Cd3Ir2Pt
Method: DFT, PBE
State: relaxed

Summary:
calculated total energy	-49.94	eV/cell
energy relative to the elements	-662	meV per atom
calculated volume	21.4	Å³/atom
total magnetic moment	0.006	μB/f.u.
space group	Amm2 (38)

abc: 3.951 7.497 7.497
angles: 119.89 90.00 90.00
Fractional positions:
1 Cd 0.500 0.741 0.001
2 Cd 0.500 0.258 0.258
3 Cd 0.500 0.001 0.741
4 Dy 0.000 0.592 0.592
5 Ir 0.500 0.666 0.335
6 Ir 0.500 0.335 0.666
7 Pt 0.000 0.998 0.998
8 Y 0.000 0.408 0.000
9 Y 0.000 0.000 0.408


Record 2
Material: TbDy2CdIr4
Method: DFT, PBE
State: relaxed

Summary:
calculated total energy	-54.61	eV/cell
energy relative to the elements	-558	meV per atom
calculated volume	19.3	Å³/atom
total magnetic moment	0.007	μB/f.u.
space group	P4/mmm (123)

abc: 4.778 4.778 6.770
angles: 90.00 90.00 90.00
Fractional positions:
1 Cd 0.000 0.000 0.500
2 Dy 0.000 0.000 0.000
3 Dy 0.500 0.500 0.500
4 Ir 0.500 0.000 0.250
5 Ir 0.000 0.500 0.250
6 Ir 0.500 0.000 0.750
7 Ir 0.000 0.500 0.750
8 Tb 0.500 0.500 0.000


Record 3
Material: K2Dy2TmMg3Cd
Method: DFT, PBE
State: relaxed

Summary:
calculated total energy	-17.45	eV/cell
calculated volume	31.3	Å³/atom
total magnetic moment	0.070	μB/f.u.
space group	Amm2 (38)

abc: 4.854 8.155 8.155
angles: 119.17 90.00 90.00
Fractional positions:
1 Cd 0.000 0.996 0.996
2 Dy 0.000 0.378 0.003
3 Dy 0.000 0.003 0.378
4 K 0.500 0.667 0.336
5 K 0.500 0.336 0.667
6 Mg 0.500 0.213 0.213
7 Mg 0.500 0.999 0.781
8 Mg 0.500 0.781 0.999
9 Tm 0.000 0.627 0.627


Record 4
Material: K2Dy2YMg3Cd
Method: DFT, PBE
State: relaxed

Summary:
calculated total energy	-20.46	eV/cell
calculated volume	37.7	Å³/atom
total magnetic moment	0.965	μB/f.u.
space group	Amm2 (38)

abc: 4.653 9.825 9.825
angles: 130.90 90.00 90.00
Site moments in Bohr magnetons follow the coordinates.
Fractional positions:
1 Cd 0.000 0.919 0.919  0.00
2 Dy 0.000 0.304 0.075  0.12
3 Dy 0.000 0.075 0.304  0.12
4 K 0.500 0.745 0.343  0.01
5 K 0.500 0.343 0.745  0.00
6 Mg 0.500 0.256 0.256  0.00
7 Mg 0.500 0.994 0.813  0.00
8 Mg 0.500 0.813 0.994  0.00
9 Y 0.000 0.550 0.550  0.20


Record 5
Material: KDyCdSe3
Method: DFT, PBE
State: relaxed

Summary:
calculated total energy	-97.91	eV/cell
calculated volume	26.3	Å³/atom
total magnetic moment	0.000	μB/f.u.
space group	Pnma (62)

abc: 8.280 4.452 17.107
angles: 90.00 90.00 90.00
Fractional positions:
1 Cd 0.915 0.750 0.157
2 Cd 0.415 0.750 0.343
3 Cd 0.585 0.250 0.657
4 Cd 0.085 0.250 0.843
5 Dy 0.266 0.750 0.039
6 Dy 0.766 0.750 0.461
7 Dy 0.234 0.250 0.539
8 Dy 0.734 0.250 0.961
9 K 0.561 0.250 0.194
10 K 0.061 0.250 0.306
11 K 0.939 0.750 0.694
12 K 0.439 0.750 0.806
13 Se 0.627 0.750 0.053
14 Se 0.002 0.250 0.077
15 Se 0.266 0.750 0.205
16 Se 0.766 0.750 0.295
17 Se 0.502 0.250 0.423
18 Se 0.127 0.750 0.447
19 Se 0.873 0.250 0.553
20 Se 0.498 0.750 0.577
21 Se 0.234 0.250 0.705
22 Se 0.734 0.250 0.795
23 Se 0.998 0.750 0.923
24 Se 0.373 0.250 0.947


Record 6
Material: KDyCdSe3
Method: DFT, PBE
State: relaxed

Summary:
calculated total energy	-100.22	eV/cell
calculated volume	30.1	Å³/atom
total magnetic moment	0.001	μB/f.u.
space group	Pnma (62)

abc: 15.035 4.247 11.321
angles: 90.00 90.00 90.00
Fractional positions:
1 Cd 0.984 0.250 0.102
2 Cd 0.484 0.250 0.398
3 Cd 0.516 0.750 0.602
4 Cd 0.016 0.750 0.898
5 Dy 0.476 0.750 0.149
6 Dy 0.976 0.750 0.351
7 Dy 0.024 0.250 0.649
8 Dy 0.524 0.250 0.851
9 K 0.761 0.750 0.051
10 K 0.261 0.750 0.449
11 K 0.739 0.250 0.551
12 K 0.239 0.250 0.949
13 Se 0.594 0.250 0.080
14 Se 0.093 0.750 0.123
15 Se 0.359 0.250 0.236
16 Se 0.859 0.250 0.264
17 Se 0.593 0.750 0.377
18 Se 0.094 0.250 0.420
19 Se 0.906 0.750 0.580
20 Se 0.407 0.250 0.623
21 Se 0.141 0.750 0.736
22 Se 0.641 0.750 0.764
23 Se 0.907 0.250 0.877
24 Se 0.406 0.750 0.920


Record 7
Material: KDyCdSe3
Method: DFT, PBE
State: relaxed

Summary:
calculated total energy	-100.33	eV/cell
calculated volume	29.3	Å³/atom
total magnetic moment	0.001	μB/f.u.
space group	Pnma (62)

abc: 11.131 4.245 14.871
angles: 90.00 90.00 90.00
Fractional positions:
1 Cd 0.261 0.250 0.212
2 Cd 0.761 0.250 0.288
3 Cd 0.239 0.750 0.712
4 Cd 0.739 0.750 0.788
5 Dy 0.011 0.750 0.246
6 Dy 0.511 0.750 0.254
7 Dy 0.489 0.250 0.746
8 Dy 0.989 0.250 0.754
9 K 0.735 0.250 0.002
10 K 0.235 0.250 0.498
11 K 0.765 0.750 0.502
12 K 0.265 0.750 0.998
13 Se 0.062 0.250 0.118
14 Se 0.464 0.250 0.124
15 Se 0.761 0.750 0.177
16 Se 0.261 0.750 0.323
17 Se 0.964 0.250 0.376
18 Se 0.562 0.250 0.382
19 Se 0.438 0.750 0.618
20 Se 0.036 0.750 0.624
21 Se 0.739 0.250 0.677
22 Se 0.239 0.250 0.823
23 Se 0.536 0.750 0.876
24 Se 0.938 0.750 0.882


Record 8
Material: KDyCdSe3
Method: DFT, PBE
State: relaxed

Summary:
calculated total energy	-49.48	eV/cell
calculated volume	28.2	Å³/atom
total magnetic moment	0.002	μB/f.u.
space group	C2/m (12)

abc: 9.202 9.202 9.252
angles: 103.40 103.40 26.39
Fractional positions:
1 Cd 0.490 0.490 0.280
2 Cd 0.510 0.510 0.720
3 Dy 0.827 0.827 0.414
4 Dy 0.173 0.173 0.586
5 K 0.142 0.142 0.068
6 K 0.858 0.858 0.932
7 Se 0.500 0.500 0.000
8 Se 0.332 0.332 0.210
9 Se 0.665 0.665 0.368
10 Se 0.000 0.000 0.500
11 Se 0.335 0.335 0.632
12 Se 0.668 0.668 0.790